Entry from Alexandria: a relaxed structure of YMn2Mo (PBE). Values from VASP.

## Properties
The calculation puts the size of the total moment at 0.9573 μB per atom. The energy relative to the elements comes out at 204 meV per atom.

Geometry as Quantum ESPRESSO input:
```
&SYSTEM
  ibrav = 0, nat = 4, ntyp = 3
/
ATOMIC_SPECIES
Y 88.91 Y.upf
Mn 54.94 Mn.upf
Mo 95.94 Mo.upf
ATOMIC_POSITIONS crystal
Y 0.000 0.000 0.000
Mn 0.203 0.203 0.203
Mn 0.797 0.797 0.797
Mo 0.500 0.500 0.500
CELL_PARAMETERS angstrom
2.102 1.213 4.918
-2.102 1.213 4.918
0.000 -2.427 4.918
```



Entry from Alexandria: a relaxed structure of Cs4PuMg3Br12 (PBE). Values from VASP.

## Properties
The calculation puts the size of the total moment at 0.2991 μB per atom. The calculation puts the formation energy without anion corrections at -1585.1 meV per atom.

Geometry as Quantum ESPRESSO input:
```
&SYSTEM
  ibrav = 0, nat = 20, ntyp = 4
/
ATOMIC_SPECIES
Cs 132.91 Cs.upf
Pu 244.00 Pu.upf
Mg 24.30 Mg.upf
Br 79.90 Br.upf
ATOMIC_POSITIONS crystal
Cs 0.000 0.000 0.500
Cs 0.000 0.500 0.000
Cs 0.500 0.000 0.000
Cs 0.500 0.500 0.500
Pu 0.000 0.000 0.000
Mg 0.000 0.500 0.500
Mg 0.500 0.000 0.500
Mg 0.500 0.500 0.000
Br 0.000 0.263 0.263
Br 0.000 0.737 0.737
Br 0.250 0.500 0.750
Br 0.250 0.750 0.500
Br 0.263 0.000 0.263
Br 0.263 0.263 0.000
Br 0.500 0.250 0.750
Br 0.500 0.750 0.250
Br 0.737 0.000 0.737
Br 0.737 0.737 0.000
Br 0.750 0.250 0.500
Br 0.750 0.500 0.250
CELL_PARAMETERS angstrom
-5.578 5.578 5.578
5.578 -5.578 5.578
5.578 5.578 -5.578
```



Entry from Alexandria: a relaxed structure of CaBiAu (PBE). Values from VASP.

## Properties
The calculation puts the size of the total moment at 0.0000 μB per atom. The energy relative to the elements comes out at -648 meV per atom.

Geometry as Quantum ESPRESSO input:
```
&SYSTEM
  ibrav = 0, nat = 6, ntyp = 3
/
ATOMIC_SPECIES
Ca 40.08 Ca.upf
Bi 208.98 Bi.upf
Au 196.97 Au.upf
ATOMIC_POSITIONS crystal
Ca 0.000 0.000 0.000
Ca 0.167 0.167 0.167
Bi 0.586 0.586 0.586
Bi 0.755 0.755 0.755
Au 0.401 0.401 0.401
Au 0.878 0.878 0.878
CELL_PARAMETERS angstrom
2.419 1.397 8.363
-2.419 1.397 8.363
0.000 -2.794 8.363
```



Entry from Alexandria: a relaxed structure of Ce8Hg2Pt (PBE). Values from VASP.

## Properties
The calculation puts the size of the total moment at 0.4727 μB per atom. The energy relative to the elements comes out at -243 meV per atom.

Geometry as Quantum ESPRESSO input:
```
&SYSTEM
  ibrav = 0, nat = 11, ntyp = 3
/
ATOMIC_SPECIES
Ce 140.12 Ce.upf
Hg 200.59 Hg.upf
Pt 195.08 Pt.upf
ATOMIC_POSITIONS crystal
Ce 0.003 0.003 0.244
Ce 0.210 0.210 0.202
Ce 0.340 0.340 0.039
Ce 0.408 0.408 0.573
Ce 0.592 0.592 0.427
Ce 0.660 0.660 0.961
Ce 0.790 0.790 0.798
Ce 0.997 0.997 0.756
Hg 0.175 0.175 0.667
Hg 0.825 0.825 0.333
Pt 0.500 0.500 0.000
CELL_PARAMETERS angstrom
8.858 -2.558 0.000
8.858 2.558 0.000
-1.606 0.000 6.485
```



Entry from Alexandria: a relaxed structure of Cr3NiRu (PBE). Values from VASP.

## Properties
The calculation puts the size of the total moment at 0.0064 μB per atom. The energy relative to the elements comes out at 1716 meV per atom.

Geometry as Quantum ESPRESSO input:
```
&SYSTEM
  ibrav = 0, nat = 5, ntyp = 3
/
ATOMIC_SPECIES
Cr 52.00 Cr.upf
Ni 58.69 Ni.upf
Ru 101.07 Ru.upf
ATOMIC_POSITIONS crystal
Cr 0.000 0.000 0.500
Cr 0.000 0.500 0.000
Cr 0.500 0.000 0.000
Ni 0.500 0.500 0.500
Ru 0.000 0.000 0.000
CELL_PARAMETERS angstrom
4.383 0.000 0.000
0.000 4.383 0.000
0.000 0.000 4.383
```



Entry from Alexandria: a relaxed structure of ThPa2Se6 (PBE). Values from VASP.

## Properties
The calculation puts the size of the total moment at 0.2269 μB per atom. The calculation puts the formation energy without anion corrections at -1350.2 meV per atom.

Geometry as Quantum ESPRESSO input:
```
&SYSTEM
  ibrav = 0, nat = 9, ntyp = 3
/
ATOMIC_SPECIES
Th 232.04 Th.upf
Pa 231.04 Pa.upf
Se 78.96 Se.upf
ATOMIC_POSITIONS crystal
Th 0.000 0.000 0.000
Pa 0.181 0.181 0.603
Pa 0.819 0.819 0.397
Se 0.041 0.041 0.726
Se 0.250 0.250 0.361
Se 0.371 0.371 0.948
Se 0.629 0.629 0.052
Se 0.750 0.750 0.639
Se 0.959 0.959 0.274
CELL_PARAMETERS angstrom
7.091 -2.693 0.000
7.091 2.693 0.000
-5.489 0.000 7.575
```



Entry from Alexandria: a relaxed structure of Ac2LuSn (PBE). Values from VASP.

## Properties
The calculation puts the size of the total moment at 0.0000 μB per atom. The energy relative to the elements comes out at -165 meV per atom.

Geometry as Quantum ESPRESSO input:
```
&SYSTEM
  ibrav = 0, nat = 4, ntyp = 3
/
ATOMIC_SPECIES
Ac 227.00 Ac.upf
Lu 174.97 Lu.upf
Sn 118.71 Sn.upf
ATOMIC_POSITIONS crystal
Ac 0.250 0.250 0.250
Ac 0.750 0.750 0.750
Lu 0.000 0.000 0.000
Sn 0.500 0.500 0.500
CELL_PARAMETERS angstrom
0.000 4.123 4.123
4.123 0.000 4.123
4.123 4.123 0.000
```



Entry from Alexandria: a relaxed structure of TlSe3O (PBE). Values from VASP.

## Properties
The calculation puts the size of the total moment at 0.0000 μB per atom. The calculation puts the formation energy without anion corrections at 1409.5 meV per atom.

Geometry as Quantum ESPRESSO input:
```
&SYSTEM
  ibrav = 0, nat = 5, ntyp = 3
/
ATOMIC_SPECIES
Tl 204.38 Tl.upf
Se 78.96 Se.upf
O 16.00 O.upf
ATOMIC_POSITIONS crystal
Tl 0.000 0.000 0.000
Se 0.000 0.000 0.500
Se 0.000 0.500 0.000
Se 0.500 0.000 0.000
O 0.500 0.500 0.500
CELL_PARAMETERS angstrom
5.396 0.000 0.000
0.000 5.396 0.000
0.000 0.000 5.396
```



Question: Which value of size of the total moment does entry 1 give?
Answer: 0.9573 μB per atom